K3RbHg7 (PBE-GGA, optimized geometry); E_form = -0.233 eV per atom; symmetry = Cmcm
1.0
2.394 -13.661 0.000
2.394 13.661 0.000
0.000 0.000 12.990
K Rb Hg
6 2 14
direct
0.145 0.855 0.570 K
0.145 0.855 0.930 K
0.219 0.781 0.250 K
0.781 0.219 0.750 K
0.855 0.145 0.070 K
0.855 0.145 0.430 K
0.019 0.981 0.250 Rb
0.981 0.019 0.750 Rb
0.277 0.723 0.545 Hg
0.277 0.723 0.955 Hg
0.380 0.620 0.635 Hg
0.380 0.620 0.865 Hg
0.395 0.605 0.250 Hg
0.452 0.548 0.048 Hg
0.452 0.548 0.452 Hg
0.548 0.452 0.548 Hg
0.548 0.452 0.952 Hg
0.605 0.395 0.750 Hg
0.620 0.380 0.135 Hg
0.620 0.380 0.365 Hg
0.723 0.277 0.045 Hg
0.723 0.277 0.455 Hg